Material: GaPtN3
Method: DFT, GGA-PBE
State: optimized geometry

- space-group type = Pm-3m
- energy relative to the elements, uncorrected (eV/atom) = 1.766

Lattice parameters (Å, degrees): 3.926 3.926 3.926 90.00 90.00 90.00
Sites, in units of the cell vectors:
1 Ga 0.500 0.500 0.500
2 N 0.500 0.000 0.000
3 N 0.000 0.000 0.500
4 N 0.000 0.500 0.000
5 Pt 0.000 0.000 0.000